[1]
A geometry-optimized SrCrIrSI structure. Source: Alexandria, functional PBE.

Geometry as POSCAR:
```
SrCrIrSI
1.0
3.4440 -2.1335 0.0000
3.4440 2.1335 0.0000
-2.1525 0.0000 8.1819
Sr Cr Ir S I
1 1 1 1 1
Direct
0.0000 0.0000 0.0000 Sr
0.3980 0.3980 0.3132 Cr
0.0760 0.0760 0.4052 Ir
0.7256 0.7256 0.2139 S
0.2629 0.2629 0.7219 I
```

Summary:
Total magnetic moment in Bohr magnetons per cell: 2.17
Energy relative to the lowest polymorph listed for this composition in meV per atom: 113

---

[2]
A geometry-optimized SrCrIrSI structure. Source: Alexandria, functional PBE.

Geometry as POSCAR:
```
SrCrIrSI
1.0
4.5033 0.0000 0.0000
0.0000 4.0823 0.0000
-1.4892 0.0000 7.2717
Sr Cr Ir S I
1 1 1 1 1
Direct
0.0000 0.0000 0.0000 Sr
0.3570 0.5000 0.3823 Cr
0.5762 0.0000 0.3011 Ir
0.8525 0.5000 0.2641 S
0.4078 0.5000 0.7578 I
```

Summary:
Total magnetic moment in Bohr magnetons per cell: 2.21
Energy relative to the lowest polymorph listed for this composition in meV per atom: 0

---

[3]
A geometry-optimized CrTeIrI2 structure. Source: Alexandria, functional PBE.

Geometry as POSCAR:
```
CrTeIrI2
1.0
5.6015 0.0000 0.0000
0.0000 5.6015 0.0000
0.0000 0.0000 5.0789
Cr Te Ir I
1 1 1 2
Direct
0.0000 0.0000 0.0000 Cr
0.5000 0.5000 0.0000 Te
0.5000 0.5000 0.5000 Ir
0.0000 0.5000 0.5000 I
0.5000 0.0000 0.5000 I
```

Summary:
Total magnetic moment in Bohr magnetons per cell: 4.75
Energy relative to the lowest polymorph listed for this composition in meV per atom: 0

---

[4]
A geometry-optimized CrTeIrI2 structure. Source: Alexandria, functional PBE.

Geometry as POSCAR:
```
CrTeIrI2
1.0
5.4345 0.0000 0.0000
0.0000 5.4345 0.0000
0.0000 0.0000 4.7443
Cr Te Ir I
1 1 1 2
Direct
0.0000 0.0000 0.0000 Cr
0.5000 0.5000 0.0000 Te
0.0000 0.0000 0.5000 Ir
0.0000 0.5000 0.5000 I
0.5000 0.0000 0.5000 I
```

Summary:
Total magnetic moment in Bohr magnetons per cell: 0.56
Energy relative to the lowest polymorph listed for this composition in meV per atom: 361

---

[5]
A geometry-optimized KCr3I structure. Source: Alexandria, functional PBE.

Geometry as POSCAR:
```
KCr3I
1.0
5.8885 0.0000 0.0000
0.0000 5.8885 0.0000
0.0000 0.0000 5.8885
K Cr I
1 3 1
Direct
0.0000 0.0000 0.0000 K
0.0000 0.0000 0.5000 Cr
0.0000 0.5000 0.0000 Cr
0.5000 0.0000 0.0000 Cr
0.5000 0.5000 0.5000 I
```

Summary:
Total magnetic moment in Bohr magnetons per cell: 16.00
Energy relative to the lowest polymorph listed for this composition in meV per atom: 608

---

[6]
A geometry-optimized K3Cr5I12 structure. Source: Alexandria, functional PBE.

Geometry as POSCAR:
```
K3Cr5I12
1.0
-9.2073 9.2073 9.2073
9.2073 -9.2073 9.2073
9.2073 9.2073 -9.2073
K Cr I
12 20 48
Direct
0.1250 0.2500 0.3750 K
0.1250 0.3750 0.7500 K
0.2500 0.3750 0.1250 K
0.2500 0.8750 0.6250 K
0.3750 0.1250 0.2500 K
0.3750 0.7500 0.1250 K
0.6250 0.2500 0.8750 K
0.6250 0.8750 0.7500 K
0.7500 0.1250 0.3750 K
0.7500 0.6250 0.8750 K
0.8750 0.6250 0.2500 K
0.8750 0.7500 0.6250 K
0.0000 0.0000 0.0000 Cr
0.0000 0.0000 0.5000 Cr
0.0000 0.5000 0.0000 Cr
0.0000 0.5000 0.5000 Cr
0.1250 0.7500 0.8750 Cr
0.1250 0.8750 0.2500 Cr
0.2500 0.1250 0.8750 Cr
0.2500 0.6250 0.3750 Cr
0.3750 0.2500 0.6250 Cr
0.3750 0.6250 0.7500 Cr
0.5000 0.0000 0.0000 Cr
0.5000 0.0000 0.5000 Cr
0.5000 0.5000 0.0000 Cr
0.5000 0.5000 0.5000 Cr
0.6250 0.3750 0.2500 Cr
0.6250 0.7500 0.3750 Cr
0.7500 0.3750 0.6250 Cr
0.7500 0.8750 0.1250 Cr
0.8750 0.1250 0.7500 Cr
0.8750 0.2500 0.1250 Cr
0.0171 0.1939 0.1124 I
0.0171 0.3232 0.9046 I
0.0815 0.6939 0.6768 I
0.0815 0.8876 0.4046 I
0.0954 0.6124 0.4185 I
0.0954 0.9829 0.6768 I
0.1124 0.0171 0.1939 I
0.1124 0.5954 0.9185 I
0.1768 0.1939 0.5815 I
0.1768 0.4829 0.5954 I
0.1939 0.1124 0.0171 I
0.1939 0.5815 0.1768 I
0.3061 0.3232 0.9185 I
0.3061 0.4829 0.3876 I
0.3232 0.9046 0.0171 I
0.3232 0.9185 0.3061 I
0.3876 0.3061 0.4829 I
0.3876 0.5815 0.9046 I
0.4046 0.0815 0.8876 I
0.4046 0.8232 0.5171 I
0.4185 0.0954 0.6124 I
0.4185 0.8232 0.8061 I
0.4829 0.3876 0.3061 I
0.4829 0.5954 0.1768 I
0.5171 0.4046 0.8232 I
0.5171 0.6124 0.6939 I
0.5815 0.1768 0.1939 I
0.5815 0.9046 0.3876 I
0.5954 0.1768 0.4829 I
0.5954 0.9185 0.1124 I
0.6124 0.4185 0.0954 I
0.6124 0.6939 0.5171 I
0.6768 0.0815 0.6939 I
0.6768 0.0954 0.9829 I
0.6939 0.5171 0.6124 I
0.6939 0.6768 0.0815 I
0.8061 0.4185 0.8232 I
0.8061 0.8876 0.9829 I
0.8232 0.5171 0.4046 I
0.8232 0.8061 0.4185 I
0.8876 0.4046 0.0815 I
0.8876 0.9829 0.8061 I
0.9046 0.0171 0.3232 I
0.9046 0.3876 0.5815 I
0.9185 0.1124 0.5954 I
0.9185 0.3061 0.3232 I
0.9829 0.6768 0.0954 I
0.9829 0.8061 0.8876 I
```

Summary:
Total magnetic moment in Bohr magnetons per cell: 84.00

---

[7]
A geometry-optimized K2CrI5 structure. Source: Alexandria, functional PBE.

Geometry as POSCAR:
```
K2CrI5
1.0
2.8778 -9.0168 0.0000
2.8778 9.0168 0.0000
0.0000 0.0000 15.3837
K Cr I
4 2 10
Direct
0.1443 0.8557 0.5705 K
0.1443 0.8557 0.9295 K
0.8557 0.1443 0.0705 K
0.8557 0.1443 0.4295 K
0.1502 0.8498 0.2500 Cr
0.8498 0.1502 0.7500 Cr
0.0450 0.9550 0.1254 I
0.0450 0.9550 0.3746 I
0.2597 0.7403 0.1214 I
0.2597 0.7403 0.3786 I
0.3252 0.6748 0.7500 I
0.6748 0.3252 0.2500 I
0.7403 0.2597 0.6214 I
0.7403 0.2597 0.8786 I
0.9550 0.0450 0.6254 I
0.9550 0.0450 0.8746 I
```

Summary:
Total magnetic moment in Bohr magnetons per cell: 5.91

---

[8]
A geometry-optimized KCr3I structure. Source: Alexandria, functional PBE.

Geometry as POSCAR:
```
KCr3I
1.0
5.5936 0.0000 0.0000
0.0000 5.5936 0.0000
0.0000 0.0000 5.5936
K Cr I
1 3 1
Direct
0.0000 0.0000 0.0000 K
0.0000 0.5000 0.5000 Cr
0.5000 0.0000 0.5000 Cr
0.5000 0.5000 0.0000 Cr
0.5000 0.5000 0.5000 I
```

Summary:
Total magnetic moment in Bohr magnetons per cell: 14.48
Energy relative to the lowest polymorph listed for this composition in meV per atom: 0

---

Number 1: final energy -5.528 eV per atom, E_form (uncorrected) -0.36 eV per atom, ρ 6.78 g cm⁻³. Number 2: final energy -5.641 eV per atom, E_form (uncorrected) -0.47 eV per atom, ρ 6.10 g cm⁻³. Number 3: final energy -4.232 eV per atom, E_form (uncorrected) 0.71 eV per atom, ρ 6.52 g cm⁻³. Number 4: final energy -3.870 eV per atom, E_form (uncorrected) 1.07 eV per atom, ρ 7.41 g cm⁻³. Number 5: final energy -4.302 eV per atom, E_form (uncorrected) 2.00 eV per atom, ρ 2.62 g cm⁻³. Number 6: final energy -4.065 eV per atom, E_form (uncorrected) -0.56 eV per atom, ρ 4.04 g cm⁻³. Number 7: final energy -3.275 eV per atom, E_form (uncorrected) -0.83 eV per atom, ρ 3.18 g cm⁻³. Number 8: final energy -4.910 eV per atom, E_form (uncorrected) 1.39 eV per atom, ρ 3.05 g cm⁻³.